1.
! SiSbTe2H, relaxed, DFT GGA-PBE; values from VASP
&SYSTEM
  ibrav = 0, nat = 5, ntyp = 4
/
ATOMIC_SPECIES
Sb 121.76 Sb.upf
Si 28.09 Si.upf
Te 127.60 Te.upf
H 1.01 H.upf
ATOMIC_POSITIONS angstrom
Sb 1.319 -0.208 1.418
Si -1.229 0.856 3.945
Te -1.797 -1.251 1.487
Te -0.752 2.315 1.039
H 0.000 0.000 0.000
CELL_PARAMETERS angstrom
-1.503 4.631 2.078
-3.593 -2.501 2.975
2.639 -0.417 2.837
! Total energy ... -16.1 eV per cell
! Magnetic moment ... 0.00 μB/atom
! Relative energy among the computed polymorphs ... 0.000 eV per atom
! SG ... No. 123
! Density of states at the Fermi level ... 0.88 states/eV/atom


2.
! Ce2CdH, relaxed, DFT GGA-PBE; values from VASP
&SYSTEM
  ibrav = 0, nat = 4, ntyp = 3
/
ATOMIC_SPECIES
H 1.01 H.upf
Ce 140.12 Ce.upf
Cd 112.41 Cd.upf
ATOMIC_POSITIONS angstrom
H 1.558 1.558 0.000
Ce 0.000 0.000 6.581
Ce 0.000 0.000 1.391
Cd 1.558 1.558 3.986
CELL_PARAMETERS angstrom
3.116 0.000 0.000
0.000 3.116 0.000
0.000 0.000 7.972
! Total energy ... -16.5 eV per cell
! Magnetic moment ... 0.29 μB/atom
! Relative energy among the computed polymorphs ... 0.084 eV per atom
! SG ... No. 123
! Density of states at the Fermi level ... 1.93 states/eV/atom


3.
! PuScGeIr, relaxed, DFT GGA-PBE; values from VASP
&SYSTEM
  ibrav = 0, nat = 4, ntyp = 4
/
ATOMIC_SPECIES
Sc 44.96 Sc.upf
Ge 72.64 Ge.upf
Ir 192.22 Ir.upf
Pu 244.00 Pu.upf
ATOMIC_POSITIONS angstrom
Sc 2.410 1.392 0.984
Ge 0.000 0.000 0.000
Ir 4.820 2.783 1.968
Pu 7.231 4.175 2.952
CELL_PARAMETERS angstrom
4.820 0.000 0.000
2.410 4.175 0.000
2.410 1.392 3.936
! Total energy ... -36.1 eV per cell
! Magnetic moment ... 1.21 μB/atom
! SG ... No. 216
! Energy relative to the elements ... -0.50 eV/atom
! Density of states at the Fermi level ... 1.77 states/eV/atom


4.
! Ti3BeOs, relaxed, DFT GGA-PBE; values from VASP
&SYSTEM
  ibrav = 0, nat = 5, ntyp = 3
/
ATOMIC_SPECIES
Be 9.01 Be.upf
Os 190.23 Os.upf
Ti 47.87 Ti.upf
ATOMIC_POSITIONS angstrom
Be 0.000 0.000 0.000
Os -1.080 -1.859 -2.997
Ti 1.204 -0.370 -1.717
Ti -0.653 -2.027 -0.021
Ti -1.631 0.538 -1.259
CELL_PARAMETERS angstrom
-3.262 1.076 -2.519
2.408 -0.740 -3.434
-1.305 -4.054 -0.041
! Total energy ... -36.2 eV per cell
! Magnetic moment ... 0.00 μB/atom
! Relative energy among the computed polymorphs ... 0.000 eV per atom
! SG ... No. 221
! Energy relative to the elements ... 0.48 eV/atom
! Density of states at the Fermi level ... 1.07 states/eV/atom